Entry from the Alexandria database: a relaxed structure of FeCo (PBEsol).

Geometry as POSCAR:
```
FeCo
1.0
-0.059 -3.753 1.216
-0.603 -2.907 -2.599
6.114 -2.642 -1.459
Co Fe
4 4
Direct
0.814 0.814 0.559
0.186 0.186 0.441
0.563 0.563 0.312
0.437 0.437 0.688
0.063 0.063 0.810
0.937 0.937 0.190
0.312 0.312 0.063
0.688 0.688 0.937
```

Calculated values
Total DFT energy (no corrections) (eV per cell): -66.48
ΔH_f (0 K) (eV/f.u.): 0.1

***

Entry from the Alexandria database: a relaxed structure of YCd5 (PBEsol).

Geometry as POSCAR:
```
YCd5
1.0
-4.125 -0.853 -1.560
0.877 -4.531 0.159
-0.133 0.210 6.706
Cd Y
5 1
Direct
0.825 0.500 0.649
0.000 0.000 0.000
0.333 0.000 0.667
0.667 0.000 0.333
0.175 0.500 0.351
0.500 0.500 0.000
```

Calculated values
Total DFT energy (no corrections) (eV per cell): -14.09
ΔH_f (0 K) (eV/f.u.): -1.3

***

Entry from the Alexandria database: a relaxed structure of BeHgW2 (PBEsol).

Geometry as POSCAR:
```
BeHgW2
1.0
2.788 0.005 0.000
-0.371 2.763 0.000
0.000 0.000 7.625
Be W Hg
1 2 1
Direct
0.500 0.500 0.500
0.000 0.000 0.300
0.000 0.000 0.700
0.500 0.500 0.000
```

Calculated values
Energy relative to the lowest polymorph listed for this composition (meV/atom): 0
Total DFT energy (no corrections) (eV per cell): -30.14
ΔH_f (0 K) (eV/f.u.): 2.0

***

Entry from the Alexandria database: a relaxed structure of AlHIN2 (PBEsol).

Geometry as POSCAR:
```
AlHIN2
1.0
-0.102 1.488 3.245
3.208 -1.386 0.737
2.896 5.428 -2.397
N Al H I
2 1 1 1
Direct
0.000 0.500 0.000
0.500 0.000 0.000
0.000 0.000 0.000
0.500 0.500 0.500
0.000 0.000 0.500
```

Calculated values
Total DFT energy (no corrections) (eV per cell): -21.25

***

Entry from the Alexandria database: a relaxed structure of SrGa2O4 (PBEsol).

Geometry as POSCAR:
```
SrGa2O4
1.0
-6.868 4.637 0.978
-3.800 -6.624 4.720
4.651 3.675 8.902
Ga Sr O
16 8 32
Direct
0.793 0.107 0.621
0.722 0.936 0.870
0.278 0.436 0.630
0.323 0.944 0.860
0.803 0.907 0.390
0.677 0.056 0.140
0.803 0.593 0.890
0.207 0.607 0.879
0.677 0.444 0.640
0.793 0.393 0.121
0.722 0.564 0.370
0.197 0.407 0.110
0.197 0.093 0.610
0.207 0.893 0.379
0.278 0.064 0.130
0.323 0.556 0.360
0.504 0.213 0.368
0.037 0.236 0.349
0.963 0.736 0.151
0.963 0.764 0.651
0.037 0.264 0.849
0.496 0.713 0.132
0.504 0.287 0.868
0.496 0.787 0.632
0.010 0.842 0.436
0.219 0.582 0.201
0.650 0.244 0.075
0.522 0.013 0.819
0.715 0.934 0.543
0.272 0.250 0.208
0.855 0.442 0.286
0.855 0.058 0.786
0.145 0.942 0.214
0.760 0.587 0.540
0.760 0.913 0.040
0.728 0.750 0.292
0.219 0.918 0.701
0.522 0.487 0.319
0.350 0.744 0.425
0.728 0.750 0.792
0.272 0.250 0.708
0.240 0.413 0.460
0.990 0.342 0.064
0.715 0.566 0.043
0.781 0.082 0.299
0.781 0.418 0.799
0.650 0.256 0.575
0.285 0.434 0.957
0.478 0.987 0.181
0.145 0.558 0.714
0.478 0.513 0.681
0.350 0.756 0.925
0.010 0.658 0.936
0.285 0.066 0.457
0.240 0.087 0.960
0.990 0.158 0.564
```

Calculated values
Total DFT energy (no corrections) (eV per cell): -362.78
ΔE_f (raw) (eV/atom): -2.261

***

Entry from the Alexandria database: a relaxed structure of Li2CaScBi (PBEsol).

Geometry as POSCAR:
```
Li2CaScBi
1.0
-2.763 -3.514 -2.062
1.047 -3.020 3.745
-4.555 1.924 2.825
Li Ca Sc Bi
2 1 1 1
Direct
0.000 0.500 0.000
0.500 0.000 0.000
0.000 0.000 0.000
0.500 0.500 0.500
0.000 0.000 0.500
```

Calculated values
Total DFT energy (no corrections) (eV per cell): -14.25
ΔH_f (0 K) (eV/f.u.): 2.7